{"formula": "Tb2Pr5Nd4", "functional": "PBE", "state": "optimized geometry", "energy_ry_per_atom": -0.3429, "e_form_ev_per_atom": 0.0831, "e_above_lowest_polymorph_mev_per_atom": 0, "cell": [[9.1000, 0.0000, 0.0000], [0.0000, 3.5754, 0.0000], [-0.9180, 0.0000, 11.9561]], "species": ["Tb", "Tb", "Pr", "Pr", "Pr", "Pr", "Pr", "Nd", "Nd", "Nd", "Nd"], "fractional_positions": [[0.0563, 0.0000, 0.1349], [0.9437, 0.0000, 0.8651], [0.1957, 0.0000, 0.6686], [0.4267, 0.0000, 0.2070], [0.5000, 0.0000, 0.5000], [0.5733, 0.0000, 0.7930], [0.8043, 0.0000, 0.3314], [0.1560, 0.5000, 0.3920], [0.2873, 0.5000, 0.9501], [0.7127, 0.5000, 0.0499], [0.8440, 0.5000, 0.6080]]}